# 1
4
Lattice="3.2612 0.0000 0.0000 0.0000 3.2612 0.0000 0.0000 0.0000 7.5353" Properties=species:S:1:pos:R:3 comment="Np2PdRu, relaxed, DFT PBE-GGA" energy_ev_per_atom=-10.12 vol_a3_per_atom=20.0 spacegroup="P4/mmm (123)" delta_e_f_mev_per_atom=-30 pbc="T T T"
Np 0.0000 0.0000 1.7821
Np 0.0000 0.0000 5.7532
Pd 1.6306 1.6306 3.7677
Ru 1.6306 1.6306 0.0000

# 2
12
Lattice="3.4750 0.0000 0.0000 -1.7375 3.0094 0.0000 0.0000 0.0000 32.2054" Properties=species:S:1:pos:R:3 comment="CuBr2Cl, relaxed, DFT PBE-GGA" raw_formation_energy_kj_per_mol_atoms=-5 relative_energy_kj_per_mol_fu=71 energy_ev_per_atom=-2.38 vol_a3_per_atom=28.1 spacegroup="R3m (160)" pbc="T T T"
Cu 0.0000 0.0000 0.0000
Cu 0.0000 2.0063 21.4703
Cu 1.7375 1.0031 10.7351
Br 0.0000 0.0000 16.2021
Br 0.0000 0.0000 23.0695
Br 0.0000 2.0063 5.4669
Br 0.0000 2.0063 12.3344
Br 1.7375 1.0031 1.5993
Br 1.7375 1.0031 26.9372
Cl 0.0000 0.0000 9.4197
Cl 0.0000 2.0063 30.8900
Cl 1.7375 1.0031 20.1549

# 3
6
Lattice="0.0000 4.0023 4.0023 4.0023 0.0000 4.0023 4.0023 4.0023 0.0000" Properties=species:S:1:pos:R:3 comment="SrTa4Si, relaxed, DFT PBE-GGA" raw_formation_energy_kj_per_mol_atoms=74 energy_ev_per_atom=-8.32 vol_a3_per_atom=21.4 spacegroup="F-43m (216)" pbc="T T T"
Sr 0.0000 0.0000 0.0000
Ta 5.0245 2.9802 2.9802
Ta 2.9802 5.0245 2.9802
Ta 2.9802 2.9802 5.0245
Ta 5.0245 5.0245 5.0245
Si 2.0012 2.0012 2.0012

# 4
5
Lattice="4.5060 0.0000 0.0000 0.0000 4.5060 0.0000 0.0000 0.0000 4.5060" Properties=species:S:1:pos:R:3 comment="CdBCl3, relaxed, DFT PBE-GGA" raw_formation_energy_kj_per_mol_atoms=12 relative_energy_kj_per_mol_fu=0 energy_ev_per_atom=-2.50 vol_a3_per_atom=18.3 spacegroup="Pm-3m (221)" pbc="T T T"
Cd 0.0000 0.0000 0.0000
B 2.2530 2.2530 2.2530
Cl 0.0000 2.2530 2.2530
Cl 2.2530 0.0000 2.2530
Cl 2.2530 2.2530 0.0000

# 5
10
Lattice="6.2453 0.0000 0.0000 -1.0506 6.1761 0.0000 -3.0967 -2.6446 8.6584" Properties=species:S:1:pos:R:3 comment="La2Tb7Pr, relaxed, DFT PBE-GGA" relative_energy_kj_per_mol_fu=0 energy_ev_per_atom=-4.68 vol_a3_per_atom=33.4 spacegroup="P-1 (2)" delta_e_f_mev_per_atom=22 pbc="T T T"
La -1.0441 5.6476 1.7276
La 3.1421 -2.1161 6.9308
Tb -2.0510 1.2407 6.0662
Tb -0.0003 -1.5859 5.1965
Tb 1.0526 2.8357 0.8575
Tb 3.1226 0.0000 0.0000
Tb 1.0454 0.6958 7.8010
Tb 2.0983 5.1174 3.4619
Tb 4.1490 2.2907 2.5923
Pr 1.0490 1.7657 4.3292

# 6
5
Lattice="5.2399 0.0000 0.0000 0.0000 5.2399 0.0000 0.0000 0.0000 5.7556" Properties=species:S:1:pos:R:3 comment="RbIn2BiIr, relaxed, DFT PBE-GGA" energy_ev_per_atom=-3.83 vol_a3_per_atom=31.6 spacegroup="P4/mmm (123)" delta_e_f_mev_per_atom=7 pbc="T T T"
Rb 0.0000 0.0000 0.0000
In 0.0000 2.6199 2.8778
In 2.6199 0.0000 2.8778
Bi 2.6199 2.6199 0.0000
Ir 2.6199 2.6199 2.8778